*a*
# PBE HPt2N, optimized geometry
data_HPt2N
_cell_length_a 4.555
_cell_length_b 4.555
_cell_length_c 8.967
_cell_angle_alpha 90.00
_cell_angle_beta 90.00
_cell_angle_gamma 90.00
_space_group_name_H-M_alt 'I -4 2 d'
_space_group_IT_number 122
_space_group_name_Hall 'I -4 2bw'
loop_
_atom_site_label
_atom_site_fract_x
_atom_site_fract_y
_atom_site_fract_z
H1 0.000 0.000 0.000
Pt1 0.218 0.250 0.125
N1 0.000 0.000 0.500
# V   11.627 Å³/atom
# Magnetic moment   0.00 μB/f.u.

=====

*b*
# PBE HPt2N, optimized geometry
data_HPt2N
_cell_length_a 5.556
_cell_length_b 5.556
_cell_length_c 5.556
_cell_angle_alpha 90.00
_cell_angle_beta 90.00
_cell_angle_gamma 90.00
_space_group_name_H-M_alt 'F m -3 m'
_space_group_IT_number 225
_space_group_name_Hall '-F 4 2 3'
loop_
_atom_site_label
_atom_site_fract_x
_atom_site_fract_y
_atom_site_fract_z
H1 0.000 0.000 0.000
Pt1 0.250 0.250 0.250
N1 0.000 0.000 0.500
# V   10.721 Å³/atom
# Magnetic moment   0.00 μB/f.u.

=====

*a* is the most stable structure; the next one sits 795 meV per atom above it.

=====

*a*
# PBE H2PtN, optimized geometry
data_H2PtN
_cell_length_a 4.391
_cell_length_b 4.391
_cell_length_c 6.188
_cell_angle_alpha 90.00
_cell_angle_beta 90.00
_cell_angle_gamma 90.00
_space_group_name_H-M_alt 'I 41/a m d'
_space_group_IT_number 141
loop_
_space_group_symop_operation_xyz
'x,y,z'
'-x,-y,-z'
'-y+1/4,x+3/4,z+1/4'
'y+1/4,-x+3/4,-z+1/4'
'-x+1/2,-y,z+1/2'
'x+1/2,y,-z+1/2'
'y+1/4,-x+1/4,z+3/4'
'-y+1/4,x+1/4,-z+3/4'
'x,-y,-z'
'-x,y,z'
'-y+1/4,-x+1/4,-z+3/4'
'y+1/4,x+1/4,z+3/4'
'-x+1/2,y,-z+1/2'
'x+1/2,-y,z+1/2'
'y+1/4,x+3/4,-z+1/4'
'-y+1/4,-x+3/4,z+1/4'
'x+1/2,y+1/2,z+1/2'
'-x+1/2,-y+1/2,-z+1/2'
'-y+3/4,x+1/4,z+3/4'
'y+3/4,-x+1/4,-z+3/4'
'-x,-y+1/2,z'
'x,y+1/2,-z'
'y+3/4,-x+3/4,z+1/4'
'-y+3/4,x+3/4,-z+1/4'
'x+1/2,-y+1/2,-z+1/2'
'-x+1/2,y+1/2,z+1/2'
'-y+3/4,-x+3/4,-z+1/4'
'y+3/4,x+3/4,z+1/4'
'-x,y+1/2,-z'
'x,-y+1/2,z'
'y+3/4,x+1/4,-z+3/4'
'-y+3/4,-x+1/4,z+3/4'
loop_
_atom_site_label
_atom_site_fract_x
_atom_site_fract_y
_atom_site_fract_z
H1 0.000 0.000 0.000
Pt1 0.000 0.250 0.375
N1 0.000 0.250 0.875
# V   7.458 Å³/atom
# Magnetic moment   0.00 μB/f.u.

=====

*b*
# PBE H2PtN, optimized geometry
data_H2PtN
_cell_length_a 4.886
_cell_length_b 4.886
_cell_length_c 4.886
_cell_angle_alpha 90.00
_cell_angle_beta 90.00
_cell_angle_gamma 90.00
_space_group_name_H-M_alt 'F m -3 m'
_space_group_IT_number 225
_space_group_name_Hall '-F 4 2 3'
loop_
_atom_site_label
_atom_site_fract_x
_atom_site_fract_y
_atom_site_fract_z
H1 0.250 0.250 0.250
Pt1 0.000 0.000 0.000
N1 0.000 0.000 0.500
# V   7.288 Å³/atom
# Magnetic moment   0.00 μB/f.u.

=====

*a* is the most stable structure; the next one sits 559 meV per atom above it.

=====

*a*
# PBE H3PtN, optimized geometry
data_H3PtN
_cell_length_a 3.208
_cell_length_b 3.208
_cell_length_c 3.208
_cell_angle_alpha 90.00
_cell_angle_beta 90.00
_cell_angle_gamma 90.00
_space_group_name_H-M_alt 'P m -3 m'
_space_group_IT_number 221
_space_group_name_Hall '-P 4 2 3'
loop_
_atom_site_label
_atom_site_fract_x
_atom_site_fract_y
_atom_site_fract_z
H1 0.000 0.000 0.500
Pt1 0.500 0.500 0.500
N1 0.000 0.000 0.000
# V   6.602 Å³/atom
# Magnetic moment   0.00 μB/f.u.

=====

*b*
# PBE H3PtN, optimized geometry
data_H3PtN
_cell_length_a 3.503
_cell_length_b 3.503
_cell_length_c 3.503
_cell_angle_alpha 90.00
_cell_angle_beta 90.00
_cell_angle_gamma 90.00
_space_group_name_H-M_alt 'P m -3 m'
_space_group_IT_number 221
_space_group_name_Hall '-P 4 2 3'
loop_
_atom_site_label
_atom_site_fract_x
_atom_site_fract_y
_atom_site_fract_z
H1 0.000 0.000 0.500
Pt1 0.000 0.000 0.000
N1 0.500 0.500 0.500
# V   8.597 Å³/atom
# Magnetic moment   2.26 μB/f.u.

=====

*b* is the most stable structure; the next one sits 123 meV per atom above it.

=====

*a*
# PBE HPtS2N, optimized geometry
data_HPtS2N
_cell_length_a 4.659
_cell_length_b 4.659
_cell_length_c 2.667
_cell_angle_alpha 90.00
_cell_angle_beta 90.00
_cell_angle_gamma 90.00
_space_group_name_H-M_alt 'P 4/m m m'
_space_group_IT_number 123
_space_group_name_Hall '-P 4 2'
loop_
_atom_site_label
_atom_site_fract_x
_atom_site_fract_y
_atom_site_fract_z
H1 0.000 0.000 0.000
Pt1 0.500 0.500 0.500
S1 0.000 0.500 0.000
N1 0.000 0.000 0.500
# V   11.580 Å³/atom
# Magnetic moment   0.00 μB/f.u.

=====

*b*
# PBE HPtS2N, optimized geometry
data_HPtS2N
_cell_length_a 5.020
_cell_length_b 5.020
_cell_length_c 3.661
_cell_angle_alpha 90.00
_cell_angle_beta 90.00
_cell_angle_gamma 90.00
_space_group_name_H-M_alt 'P 4/m m m'
_space_group_IT_number 123
_space_group_name_Hall '-P 4 2'
loop_
_atom_site_label
_atom_site_fract_x
_atom_site_fract_y
_atom_site_fract_z
H1 0.000 0.000 0.000
Pt1 0.500 0.500 0.500
S1 0.000 0.500 0.500
N1 0.500 0.500 0.000
# V   18.453 Å³/atom
# Magnetic moment   0.80 μB/f.u.

=====

*a* is the most stable structure; the next one sits 164 meV per atom above it.